! HfU2Tl2Se6 PBE optimized geometry; values from VASP
&SYSTEM
  ibrav = 0, nat = 11, ntyp = 4
/
ATOMIC_SPECIES
Hf 178.49 Hf.upf
U 238.03 U.upf
Tl 204.38 Tl.upf
Se 78.96 Se.upf
CELL_PARAMETERS angstrom
3.4828 -6.0038 0.0000
3.4828 6.0038 0.0000
-2.4009 0.0000 7.9766
ATOMIC_POSITIONS angstrom
Hf 0.0000 0.0000 0.0000
U 3.4828 2.0057 0.0000
U 3.4828 -2.0057 0.0000
Tl 2.2824 3.9477 3.9883
Tl 2.2824 -3.9477 3.9883
Se 1.1082 1.8889 1.6136
Se -0.2056 0.0000 6.3584
Se 1.1082 -1.8889 1.6136
Se 3.4566 1.8889 6.3630
Se 4.7703 0.0000 1.6183
Se 3.4566 -1.8889 6.3630
! Raw formation energy in meV/atom: -1005
! Magnetic moment in μB per cell: 6.01
! DOS(E_F) in states/eV per atom: 0.86
! Space-group type: C2/m (12)